Entry 1:
A relaxed Sc2V3Si4 crystal, computed with PBE.

```
36
Lattice="6.6300 0.0000 0.0000 0.0000 6.6300 0.0000 0.0000 0.0000 12.2647" Properties=species:S:1:pos:R:3 pbc="T T T"
Sc 0.0108 2.2370 2.6978
Sc 1.0780 3.3258 5.7639
Sc 2.2370 0.0108 9.5670
Sc 3.3042 5.5520 0.3684
Sc 3.3258 1.0780 6.5008
Sc 4.3930 6.6193 3.4346
Sc 5.5520 3.3042 11.8963
Sc 6.6193 4.3930 8.8301
V 0.0506 5.5922 1.5133
V 1.0378 6.5795 4.6190
V 1.1167 1.1167 0.0000
V 2.1983 4.4317 3.0662
V 2.2772 3.2645 10.7119
V 3.2645 2.2772 1.5528
V 3.3656 4.3528 7.6852
V 4.3528 3.3656 4.5795
V 4.4317 2.1983 9.1986
V 5.5133 5.5133 6.1324
V 5.5922 0.0506 10.7514
V 6.5795 1.0378 7.6457
Si 0.2669 1.9529 9.9911
Si 0.8643 5.2801 11.4038
Si 1.3499 5.7657 6.9934
Si 1.3621 3.5819 0.7926
Si 1.9529 0.2669 2.2736
Si 1.9651 2.4507 8.3376
Si 2.4507 1.9651 3.9272
Si 3.0482 5.2679 5.3398
Si 3.5819 1.3621 11.4722
Si 4.1793 4.6649 10.0595
Si 4.6649 4.1793 2.2052
Si 4.6771 6.3632 8.4060
Si 5.2679 3.0482 6.9249
Si 5.2801 0.8643 0.8610
Si 5.7657 1.3499 5.2714
Si 6.3632 4.6771 3.8588
```

## Properties
As for the volume: 14.98 A^3/atom. The space group is P4_12_12. The size of the total moment comes out at 0.00 μB/f.u. The formation energy without anion corrections comes out at -72.47 kJ per mole of atoms. The total energy comes out at -7.608 eV per atom.

Entry 2:
A relaxed ScV2Si2 crystal, computed with PBE.

```
10
Lattice="7.4954 0.0000 0.0000 0.0000 7.4954 0.0000 0.0000 0.0000 2.6244" Properties=species:S:1:pos:R:3 pbc="T T T"
Sc 0.0000 0.0000 0.0000
Sc 3.7477 3.7477 0.0000
V 0.8566 2.8911 0.0000
V 2.8911 6.6388 0.0000
V 4.6043 0.8566 0.0000
V 6.6388 4.6043 0.0000
Si 1.3454 5.0931 1.3122
Si 2.4023 1.3454 1.3122
Si 5.0931 6.1500 1.3122
Si 6.1500 2.4023 1.3122
```

## Properties
As for the volume: 14.74 A^3/atom. The space group is P4/mbm. The size of the total moment comes out at 0.11 μB/f.u. The formation energy without anion corrections comes out at -33.41 kJ per mole of atoms. The total energy comes out at -7.429 eV per atom.

Entry 3:
A relaxed ScV2Si2 crystal, computed with PBE.

```
10
Lattice="6.7569 0.0000 0.0000 0.0000 6.7569 0.0000 0.0000 0.0000 3.2132" Properties=species:S:1:pos:R:3 pbc="T T T"
Sc 0.0000 0.0000 0.0000
Sc 3.3785 3.3785 0.0000
V 1.1316 2.2468 1.6066
V 2.2468 5.6253 1.6066
V 4.5101 1.1316 1.6066
V 5.6253 4.5101 1.6066
Si 0.8506 4.2291 0.0000
Si 2.5278 0.8506 0.0000
Si 4.2291 5.9063 0.0000
Si 5.9063 2.5278 0.0000
```

## Properties
As for the volume: 14.67 A^3/atom. The space group is P4/mbm. The size of the total moment comes out at 0.00 μB/f.u. The formation energy without anion corrections comes out at -51.61 kJ per mole of atoms. The total energy comes out at -7.618 eV per atom.

Entry 4:
A relaxed Sc2VSi crystal, computed with PBE.

```
4
Lattice="4.3774 0.0000 0.0000 0.0000 4.3774 0.0000 0.0000 0.0000 3.7449" Properties=species:S:1:pos:R:3 pbc="T T T"
Sc 0.0000 2.1887 0.0000
Sc 2.1887 0.0000 0.0000
V 0.0000 0.0000 1.8724
Si 2.1887 2.1887 1.8724
```

## Properties
As for the volume: 17.94 A^3/atom. The space group is P4/mmm. The size of the total moment comes out at 2.69 μB/f.u. The formation energy without anion corrections comes out at -24.22 kJ per mole of atoms. The total energy comes out at -7.052 eV per atom.

Entry 5:
A relaxed Sc2VSi crystal, computed with PBE.

```
4
Lattice="1.5116 0.8727 9.4789 -1.5116 0.8727 9.4789 0.0000 -1.7454 9.4789" Properties=species:S:1:pos:R:3 pbc="T T T"
Sc 0.0000 0.0000 2.5987
Sc 0.0000 0.0000 25.8379
V 0.0000 0.0000 0.0000
Si 0.0000 0.0000 14.2183
```

## Properties
As for the volume: 18.76 A^3/atom. The space group is R-3m. The size of the total moment comes out at 1.04 μB/f.u. The formation energy without anion corrections comes out at 27.24 kJ per mole of atoms. The total energy comes out at -6.519 eV per atom.

Entry 6:
A relaxed ScVZn2Si crystal, computed with PBE.

```
5
Lattice="4.8908 0.0000 0.0000 0.0000 4.8908 0.0000 0.0000 0.0000 4.8388" Properties=species:S:1:pos:R:3 pbc="T T T"
Sc 0.0000 0.0000 0.0000
V 2.4454 2.4454 2.4194
Zn 0.0000 2.4454 0.0000
Zn 2.4454 0.0000 0.0000
Si 0.0000 0.0000 2.4194
```

## Properties
As for the volume: 23.15 A^3/atom. The space group is P4/mmm. The size of the total moment comes out at 0.20 μB/f.u. The formation energy without anion corrections comes out at 128.02 kJ per mole of atoms. The total energy comes out at -3.357 eV per atom.

Entry 7:
A relaxed Sc3SiW crystal, computed with PBE.

```
5
Lattice="4.9183 0.0000 0.0000 0.0000 4.9183 0.0000 0.0000 0.0000 4.9183" Properties=species:S:1:pos:R:3 pbc="T T T"
Sc 0.0000 0.0000 2.4592
Sc 0.0000 2.4592 0.0000
Sc 2.4592 0.0000 0.0000
Si 0.0000 0.0000 0.0000
W 2.4592 2.4592 2.4592
```

## Properties
As for the volume: 23.79 A^3/atom. The space group is Pm-3m. The size of the total moment comes out at 2.67 μB/f.u. The formation energy without anion corrections comes out at 70.93 kJ per mole of atoms. The total energy comes out at -6.739 eV per atom.

Entry 8:
A relaxed ScSiW crystal, computed with PBE.

```
3
Lattice="-1.6519 1.6519 4.6497 1.6519 -1.6519 4.6497 1.6519 1.6519 -4.6497" Properties=species:S:1:pos:R:3 pbc="T T T"
Sc 0.0000 0.0000 0.0000
Si 0.0000 0.0000 6.4059
W 0.0000 0.0000 2.8693
```

## Properties
As for the volume: 16.92 A^3/atom. The space group is I4mm. The size of the total moment comes out at 0.29 μB/f.u. The formation energy without anion corrections comes out at -18.68 kJ per mole of atoms. The total energy comes out at -8.430 eV per atom.

Entry 9:
A relaxed ScSiW crystal, computed with PBE.

```
3
Lattice="4.5189 0.0000 0.0000 -2.2594 3.9135 0.0000 0.0000 0.0000 2.8847" Properties=species:S:1:pos:R:3 pbc="T T T"
Sc 0.0000 0.0000 0.0000
Si 2.2594 1.3045 1.4424
W 0.0000 2.6090 1.4424
```

## Properties
As for the volume: 17.00 A^3/atom. The space group is P-6m2. The size of the total moment comes out at 0.00 μB/f.u. The formation energy without anion corrections comes out at -1.85 kJ per mole of atoms. The total energy comes out at -8.255 eV per atom.

Entry 10:
A relaxed ScSiW2 crystal, computed with PBE.

```
4
Lattice="4.9595 -1.6494 0.0000 4.9595 1.6494 0.0000 -1.9818 0.0000 3.9803" Properties=species:S:1:pos:R:3 pbc="T T T"
Sc 0.0000 0.0000 0.0000
Si 3.9686 0.0000 1.9902
W 0.9485 0.0000 2.9619
W 6.9886 0.0000 1.0184
```

## Properties
As for the volume: 16.28 A^3/atom. The space group is C2/m. The size of the total moment comes out at 0.00 μB/f.u. The formation energy without anion corrections comes out at 3.71 kJ per mole of atoms. The total energy comes out at -9.377 eV per atom.

Entry 11:
A relaxed ScSi3W crystal, computed with PBE.

```
5
Lattice="4.7109 0.0000 0.0000 0.0000 4.7109 0.0000 0.0000 0.0000 4.7109" Properties=species:S:1:pos:R:3 pbc="T T T"
Sc 0.0000 0.0000 0.0000
Si 0.0000 2.3555 2.3555
Si 2.3555 0.0000 2.3555
Si 2.3555 2.3555 0.0000
W 2.3555 2.3555 2.3555
```

## Properties
As for the volume: 20.91 A^3/atom. The space group is Pm-3m. The size of the total moment comes out at 0.00 μB/f.u. The formation energy without anion corrections comes out at 41.77 kJ per mole of atoms. The total energy comes out at -6.678 eV per atom.

Entry 12:
A relaxed Sc2SiW crystal, computed with PBE.

```
4
Lattice="1.6341 0.9435 8.6499 -1.6341 0.9435 8.6499 0.0000 -1.8869 8.6499" Properties=species:S:1:pos:R:3 pbc="T T T"
Sc 0.0000 0.0000 0.0000
Sc 0.0000 0.0000 5.7211
Si 0.0000 0.0000 19.2111
W 0.0000 0.0000 12.1602
```

## Properties
As for the volume: 20.00 A^3/atom. The space group is R3m. The size of the total moment comes out at 0.03 μB/f.u. The formation energy without anion corrections comes out at 6.04 kJ per mole of atoms. The total energy comes out at -7.697 eV per atom.